Below is a geometry-optimized YSnGe4 structure, with properties calculated at the PBE-GGA level.

a b c (Å): 7.9882 7.9882 7.9882
angles (deg): 90.00 90.00 90.00
With the nearest neighbours (Å) after each atom.
Space group F-43m (No. 216)
Inequivalent atoms, fractional coordinates:
Y: 0.0000 0.0000 0.0000 x4  12 Ge 3.31, 4 Sn 3.46
Sn: 0.2500 0.2500 0.2500 x4  12 Ge 3.31, 4 Y 3.46
Ge: 0.1251 0.1251 0.6251 x16  6 Ge 2.82-2.83

Summary:
theoretical density	6.49	g/cm3
volume	21.24	Å³/atom
Fermi-level density of states	0.401	states/eV per atom
formation energy from the elements	-13	kJ/mol of atoms

Below is a geometry-optimized Y7Sn2Ge2 structure, with properties calculated at the PBE-GGA level.

a b c (Å): 8.5325 10.9219 6.9511
angles (deg): 90.00 90.00 90.00
With the nearest neighbours (Å) after each atom.
Space group Cmmm (No. 65)
Inequivalent atoms, fractional coordinates:
Y: 0.0000 0.0000 0.0000 x2  2 Ge 3.01
Y: 0.0000 0.5000 0.2494 x4  2 Ge 3.00, 2 Sn 3.24
Y: 0.2500 0.2500 0.2654 x8  2 Ge 2.83
Sn: 0.1800 0.0000 0.5000 x4  1 Sn 3.07, 6 Y 3.24
Ge: 0.0000 0.2756 0.0000 x4  7 Y 2.83-3.01

Summary:
theoretical density	5.15	g/cm3
volume	29.44	Å³/atom
Fermi-level density of states	1.072	states/eV per atom
formation energy from the elements	-45	kJ/mol of atoms

Below is a geometry-optimized Y2ZnSnGe structure, with properties calculated at the PBE-GGA level.

a b c (Å): 7.3350 4.4254 7.5875
angles (deg): 90.00 90.03 90.00
With the nearest neighbours (Å) after each atom.
Space group P2_1/m (No. 11)
Inequivalent atoms, fractional coordinates:
Y: 0.0060 0.2500 0.2192 x2  3 Ge 2.95-3.03, 2 Zn 3.19, 2 Sn 3.20
Y: 0.4941 0.2500 0.2187 x2  3 Ge 2.95-3.03, 2 Zn 3.18, 2 Sn 3.20
Zn: 0.2512 0.7500 0.4067 x2  1 Ge 2.48, 2 Sn 2.66
Sn: 0.2501 0.2500 0.6023 x2  2 Zn 2.66
Ge: 0.2498 0.7500 0.0802 x2  1 Zn 2.48

Summary:
theoretical density	5.86	g/cm3
volume	24.63	Å³/atom
Fermi-level density of states	0.252	states/eV per atom
formation energy from the elements	-63	kJ/mol of atoms

Below is a geometry-optimized ZnSn2Ge structure, with properties calculated at the PBE-GGA level.

a b c (Å): 3.2585 3.2585 31.8139
angles (deg): 90.00 90.00 120.00
With the nearest neighbours (Å) after each atom.
Space group R-3m (No. 166, hexagonal axes)
Inequivalent atoms, fractional coordinates:
Zn: 0.0000 0.0000 0.0000 x3  2 Sn 2.81
Sn: 0.0000 0.0000 0.0883 x6  1 Zn 2.81, 3 Ge 3.12
Ge: 0.0000 0.0000 0.5000 x3  6 Sn 3.12, 6 Ge 3.26

Summary:
theoretical density	6.39	g/cm3
volume	24.38	Å³/atom
energy above the most stable polymorph in this dataset	91	meV/atom
Fermi-level density of states	0.392	states/eV per atom
formation energy from the elements	23	kJ/mol of atoms

Below is a geometry-optimized Zn2SnGe structure, with properties calculated at the PBE-GGA level.

a b c (Å): 6.8246 6.8246 6.8246
angles (deg): 90.00 90.00 90.00
With the nearest neighbours (Å) after each atom.
Space group Fm-3m (No. 225)
Inequivalent atoms, fractional coordinates:
Zn: 0.2500 0.2500 0.2500 x8  4 Sn 2.96, 4 Ge 2.96
Sn: 0.0000 0.0000 0.0000 x4  8 Zn 2.96
Ge: 0.0000 0.0000 0.5000 x4  8 Zn 2.96

Summary:
theoretical density	6.73	g/cm3
volume	19.87	Å³/atom
energy above the most stable polymorph in this dataset	73	meV/atom
Fermi-level density of states	0.525	states/eV per atom
formation energy from the elements	21	kJ/mol of atoms

Below is a geometry-optimized ZnSnGe3 structure, with properties calculated at the PBE-GGA level.

a b c (Å): 4.8938 4.8938 4.8938
angles (deg): 90.00 90.00 90.00
With the nearest neighbours (Å) after each atom.
Space group Pm-3m (No. 221)
Inequivalent atoms, fractional coordinates:
Zn: 0.0000 0.0000 0.0000 x1  6 Ge 2.45
Sn: 0.5000 0.5000 0.5000 x1  12 Ge 3.46
Ge: 0.0000 0.0000 0.5000 x3  2 Zn 2.45

Summary:
theoretical density	5.70	g/cm3
volume	23.44	Å³/atom
energy above the most stable polymorph in this dataset	0	meV/atom
Fermi-level density of states	0.694	states/eV per atom
formation energy from the elements	51	kJ/mol of atoms

Below is a geometry-optimized ZnSn2Ge structure, with properties calculated at the PBE-GGA level.

a b c (Å): 4.2554 4.2554 18.8603
angles (deg): 90.00 90.00 120.00
With the nearest neighbours (Å) after each atom.
Space group R3m (No. 160, hexagonal axes)
Inequivalent atoms, fractional coordinates:
Zn: 0.0000 0.0000 0.0000 x3  6 Sn 2.90-2.92, 1 Ge 3.03
Sn: 0.0000 0.0000 0.5847 x3  3 Zn 2.90, 3 Ge 3.00, 1 Sn 3.13
Sn: 0.0000 0.0000 0.7507 x3  3 Ge 2.85, 3 Zn 2.92, 1 Sn 3.13
Ge: 0.0000 0.0000 0.1605 x3  6 Sn 2.85-3.00, 1 Zn 3.03

Summary:
theoretical density	6.32	g/cm3
volume	24.65	Å³/atom
energy above the most stable polymorph in this dataset	0	meV/atom
Fermi-level density of states	0.474	states/eV per atom
formation energy from the elements	14	kJ/mol of atoms

Below is a geometry-optimized ZnSn2Ge structure, with properties calculated at the PBE-GGA level.

a b c (Å): 3.5637 3.5637 7.0927
angles (deg): 90.00 90.00 90.00
With the nearest neighbours (Å) after each atom.
Space group P4/mmm (No. 123)
Inequivalent atoms, fractional coordinates:
Zn: 0.0000 0.0000 0.0000 x1  8 Sn 3.06
Sn: 0.5000 0.5000 0.2442 x2  4 Zn 3.06, 4 Ge 3.11
Ge: 0.0000 0.0000 0.5000 x1  8 Sn 3.11

Summary:
theoretical density	6.92	g/cm3
volume	22.52	Å³/atom
energy above the most stable polymorph in this dataset	25	meV/atom
Fermi-level density of states	0.413	states/eV per atom
formation energy from the elements	17	kJ/mol of atoms

Below is a geometry-optimized ZnSn2Ge2 structure, with properties calculated at the PBE-GGA level.

a b c (Å): 3.7333 3.7333 16.7095
angles (deg): 90.00 90.00 90.00
With the nearest neighbours (Å) after each atom.
Space group I4/mmm (No. 139)
Inequivalent atoms, fractional coordinates:
Zn: 0.0000 0.0000 0.0000 x2  8 Sn 3.11
Sn: 0.0000 0.0000 0.4018 x4  4 Zn 3.11, 4 Ge 3.15, 1 Sn 3.28
Ge: 0.0000 0.5000 0.2500 x4  4 Ge 2.64

Summary:
theoretical density	6.39	g/cm3
volume	23.29	Å³/atom
energy above the most stable polymorph in this dataset	0	meV/atom
Fermi-level density of states	0.511	states/eV per atom
formation energy from the elements	22	kJ/mol of atoms

Below is a geometry-optimized ZnSn2Ge structure, with properties calculated at the PBE-GGA level.

a b c (Å): 5.3391 5.3391 3.1950
angles (deg): 90.00 90.00 90.00
With the nearest neighbours (Å) after each atom.
Space group P4/mmm (No. 123)
Inequivalent atoms, fractional coordinates:
Zn: 0.0000 0.0000 0.0000 x1  8 Sn 3.11, 2 Zn 3.19
Sn: 0.0000 0.5000 0.5000 x2  4 Ge 3.11, 4 Zn 3.11, 2 Sn 3.19
Ge: 0.5000 0.5000 0.0000 x1  8 Sn 3.11, 2 Ge 3.19

Summary:
theoretical density	6.85	g/cm3
volume	22.77	Å³/atom
energy above the most stable polymorph in this dataset	48	meV/atom
Fermi-level density of states	0.436	states/eV per atom
formation energy from the elements	19	kJ/mol of atoms

Below is a geometry-optimized ZnSnGe2 structure, with properties calculated at the PBE-GGA level.

a b c (Å): 3.9255 3.9255 19.2262
angles (deg): 90.00 90.00 120.00
With the nearest neighbours (Å) after each atom.
Space group R-3m (No. 166, hexagonal axes)
Inequivalent atoms, fractional coordinates:
Zn: 0.0000 0.0000 0.0000 x3  6 Ge 2.63
Sn: 0.0000 0.0000 0.5000 x3  6 Ge 2.94
Ge: 0.0000 0.0000 0.2642 x6  3 Zn 2.63, 3 Sn 2.94

Summary:
theoretical density	6.40	g/cm3
volume	21.38	Å³/atom
energy above the most stable polymorph in this dataset	0	meV/atom
Fermi-level density of states	0.538	states/eV per atom
formation energy from the elements	20	kJ/mol of atoms

Below is a geometry-optimized Zn2SnGe structure, with properties calculated at the PBE-GGA level.

a b c (Å): 3.4782 3.4782 23.2491
angles (deg): 90.00 90.00 120.00
With the nearest neighbours (Å) after each atom.
Space group R-3m (No. 166, hexagonal axes)
Inequivalent atoms, fractional coordinates:
Zn: 0.0000 0.0000 0.2426 x6  3 Ge 2.67, 3 Sn 2.91
Sn: 0.0000 0.0000 0.0000 x3  6 Zn 2.91
Ge: 0.0000 0.0000 0.5000 x3  6 Zn 2.67

Summary:
theoretical density	6.59	g/cm3
volume	20.30	Å³/atom
energy above the most stable polymorph in this dataset	11	meV/atom
Fermi-level density of states	0.322	states/eV per atom
formation energy from the elements	15	kJ/mol of atoms